Computed, not measured: a relaxed structure of Sm6HoTm2Sc3 at the PBE level of DFT.

Unit cell a=6.1029 b=10.5644 c=11.4454 alpha=90.00 beta=100.21 gamma=90.00
Space group C2/m (No. 12)
One atom of each set of equivalent atoms:
Sm 0.2475 0.0000 0.2422 x4
Sm 0.2473 0.3333 0.2424 x8
Ho 0.0000 0.0000 0.5000 x2
Tm 0.0000 0.3334 0.5000 x4
Sc 0.0000 0.1669 0.0000 x4
Sc 0.0000 0.5000 0.0000 x2

Properties
M_tot   0.0 μB per formula unit
Calculated volume   726 Å³/cell
E_form   0.04 eV/atom
Total energy   -5.0256 eV per atom

=====

Computed, not measured: a relaxed structure of Sm5HoTmSc2 at the PBE level of DFT.

Unit cell a=5.5003 b=20.1084 c=10.4082 alpha=90.00 beta=90.00 gamma=90.00
Space group Cmc2_1 (No. 36)
One atom of each set of equivalent atoms:
Sm 0.0000 0.0116 0.0000 x4
Sm 0.0000 0.2745 0.3034 x4
Sm 0.0000 0.3014 0.6958 x4
Sm 0.0000 0.3812 0.0077 x4
Sm 0.0000 0.4818 0.7280 x4
Ho 0.0000 0.1927 0.0002 x4
Tm 0.0000 0.4073 0.4405 x4
Sc 0.0000 0.1115 0.2873 x4
Sc 0.0000 0.1135 0.7290 x4

Properties
M_tot   0.0 μB per formula unit
Calculated volume   1151 Å³/cell
E_form   0.17 eV/atom
Total energy   -4.8608 eV per atom

=====

Computed, not measured: a relaxed structure of SmHo5TmSc2 at the PBE level of DFT.

Unit cell a=5.5651 b=21.3443 c=9.2820 alpha=90.00 beta=90.00 gamma=90.00
Space group Cmc2_1 (No. 36)
One atom of each set of equivalent atoms:
Sm 0.0000 0.1845 0.0000 x4
Ho 0.0000 0.0105 0.9961 x4
Ho 0.0000 0.2651 0.3167 x4
Ho 0.0000 0.3073 0.7011 x4
Ho 0.0000 0.3922 0.0300 x4
Ho 0.0000 0.4686 0.7308 x4
Tm 0.0000 0.4026 0.4031 x4
Sc 0.0000 0.1131 0.3071 x4
Sc 0.0000 0.1360 0.6825 x4

Properties
M_tot   0.0 μB per formula unit
Calculated volume   1103 Å³/cell
E_form   0.17 eV/atom
Total energy   -4.8028 eV per atom

=====

Computed, not measured: a relaxed structure of SmYHo2Sc4 at the PBE level of DFT.

Unit cell a=4.9032 b=4.9032 c=9.3306 alpha=90.00 beta=90.00 gamma=90.00
Space group P4/mmm (No. 123)
One atom of each set of equivalent atoms:
Sm 0.0000 0.0000 0.0000 x1
Y 0.5000 0.5000 0.5000 x1
Ho 0.0000 0.0000 0.5000 x1
Ho 0.5000 0.5000 0.0000 x1
Sc 0.0000 0.5000 0.2500 x4

Properties
M_tot   0.0 μB per formula unit
Calculated volume   224 Å³/cell
E_form   0.06 eV/atom
Total energy   -5.6530 eV per atom

=====

Computed, not measured: a relaxed structure of Sm2YHo2Sc2 at the PBE level of DFT.

Unit cell a=11.2996 b=3.3738 c=11.5863 alpha=90.00 beta=101.59 gamma=90.00
Space group C2/m (No. 12)
One atom of each set of equivalent atoms:
Sm 0.2058 0.0000 0.3636 x4
Y 0.0000 0.5000 0.5000 x2
Ho 0.0909 0.0000 0.7844 x4
Sc 0.1587 0.0000 0.0693 x4

Properties
M_tot   1.6 μB per formula unit
Calculated volume   433 Å³/cell
E_form   0.20 eV/atom
Total energy   -5.1889 eV per atom

=====

Computed, not measured: a relaxed structure of Sm6YHoSc2 at the PBE level of DFT.

Unit cell a=9.0223 b=15.0077 c=9.4714 alpha=90.00 beta=97.54 gamma=90.00
Space group C2/c (No. 15)
One atom of each set of equivalent atoms:
Sm 0.0621 0.1774 0.4480 x8
Sm 0.0999 0.3967 0.6183 x8
Sm 0.2130 0.2273 0.8169 x8
Y 0.0000 0.0271 0.7500 x4
Ho 0.0000 0.4086 0.2500 x4
Sc 0.2500 0.0519 0.0468 x8

Properties
M_tot   0.0 μB per formula unit
Calculated volume   1271 Å³/cell
E_form   0.12 eV/atom
Total energy   -5.0784 eV per atom

=====

Computed, not measured: a relaxed structure of Sm2Y6HoSc at the PBE level of DFT.

Unit cell a=9.2251 b=15.9414 c=8.7336 alpha=90.00 beta=92.84 gamma=90.00
Space group C2/c (No. 15)
One atom of each set of equivalent atoms:
Sm 0.2359 0.0532 0.4486 x8
Y 0.0366 0.3314 0.9490 x8
Y 0.1046 0.1317 0.0911 x8
Y 0.2453 0.2051 0.7065 x8
Ho 0.0000 0.4685 0.2500 x4
Sc 0.0000 0.0539 0.7500 x4

Properties
M_tot   0.0 μB per formula unit
Calculated volume   1283 Å³/cell
E_form   0.12 eV/atom
Total energy   -5.7952 eV per atom

=====

Computed, not measured: a relaxed structure of Sm4YHo2Sc at the PBE level of DFT.

Unit cell a=5.0463 b=5.0463 c=9.9182 alpha=90.00 beta=90.00 gamma=90.00
Space group P4/mmm (No. 123)
One atom of each set of equivalent atoms:
Sm 0.0000 0.5000 0.2439 x4
Y 0.0000 0.0000 0.5000 x1
Ho 0.0000 0.0000 0.0000 x1
Ho 0.5000 0.5000 0.5000 x1
Sc 0.5000 0.5000 0.0000 x1

Properties
M_tot   0.0 μB per formula unit
Calculated volume   253 Å³/cell
E_form   0.03 eV/atom
Total energy   -5.0757 eV per atom

=====

Computed, not measured: a relaxed structure of SmY3Ho6Sc2 at the PBE level of DFT.

Unit cell a=6.0675 b=10.4983 c=11.6096 alpha=90.00 beta=99.98 gamma=90.00
Space group C2/m (No. 12)
One atom of each set of equivalent atoms:
Sm 0.0000 0.0000 0.0000 x2
Y 0.0000 0.1671 0.5000 x4
Y 0.0000 0.5000 0.5000 x2
Ho 0.2460 0.5000 0.2447 x4
Ho 0.2499 0.1678 0.2448 x8
Sc 0.0000 0.3332 0.0000 x4

Properties
M_tot   0.0 μB per formula unit
Calculated volume   728 Å³/cell
E_form   0.04 eV/atom
Total energy   -5.3134 eV per atom

=====

Computed, not measured: a relaxed structure of SmY3HoSc at the PBE level of DFT.

Unit cell a=4.9663 b=14.9576 c=9.9863 alpha=90.00 beta=90.00 gamma=90.00
Space group Cmcm (No. 63)
One atom of each set of equivalent atoms:
Sm 0.0000 0.0028 0.2500 x4
Y 0.0000 0.1666 0.0010 x8
Y 0.0000 0.3310 0.2500 x4
Ho 0.0000 0.5000 0.0000 x4
Sc 0.0000 0.3332 0.7500 x4

Properties
M_tot   0.0 μB per formula unit
Calculated volume   742 Å³/cell
E_form   0.04 eV/atom
Total energy   -5.7955 eV per atom

=====

Computed, not measured: a relaxed structure of SmY2Ho6Sc at the PBE level of DFT.

Unit cell a=9.2865 b=15.5314 c=8.6852 alpha=90.00 beta=91.59 gamma=90.00
Space group C2/c (No. 15)
One atom of each set of equivalent atoms:
Sm 0.0000 0.0367 0.2500 x4
Y 0.2351 0.4459 0.4414 x8
Ho 0.0427 0.1688 0.9452 x8
Ho 0.1009 0.3685 0.0907 x8
Ho 0.2491 0.2907 0.7035 x8
Sc 0.0000 0.4402 0.7500 x4

Properties
M_tot   0.0 μB per formula unit
Calculated volume   1252 Å³/cell
E_form   0.13 eV/atom
Total energy   -5.0160 eV per atom

=====

Computed, not measured: a relaxed structure of Sm6YHo3Sc2 at the PBE level of DFT.

Unit cell a=6.1492 b=10.6450 c=11.6029 alpha=90.00 beta=100.14 gamma=90.00
Space group C2/m (No. 12)
One atom of each set of equivalent atoms:
Sm 0.2452 0.0000 0.2456 x4
Sm 0.2491 0.1686 0.7546 x8
Y 0.0000 0.5000 0.0000 x2
Ho 0.0000 0.0000 0.5000 x2
Ho 0.0000 0.3332 0.5000 x4
Sc 0.0000 0.1666 0.0000 x4

Properties
M_tot   0.0 μB per formula unit
Calculated volume   748 Å³/cell
E_form   0.03 eV/atom
Total energy   -5.0633 eV per atom

=====

Q: Which of these has the lowest calculated volume?
A: SmYHo2Sc4

=====

Copy entry 2 word for word.
Computed, not measured: a relaxed structure of Sm5HoTmSc2 at the PBE level of DFT.

Unit cell a=5.5003 b=20.1084 c=10.4082 alpha=90.00 beta=90.00 gamma=90.00
Space group Cmc2_1 (No. 36)
One atom of each set of equivalent atoms:
Sm 0.0000 0.0116 0.0000 x4
Sm 0.0000 0.2745 0.3034 x4
Sm 0.0000 0.3014 0.6958 x4
Sm 0.0000 0.3812 0.0077 x4
Sm 0.0000 0.4818 0.7280 x4
Ho 0.0000 0.1927 0.0002 x4
Tm 0.0000 0.4073 0.4405 x4
Sc 0.0000 0.1115 0.2873 x4
Sc 0.0000 0.1135 0.7290 x4

Properties
M_tot   0.0 μB per formula unit
Calculated volume   1151 Å³/cell
E_form   0.17 eV/atom
Total energy   -4.8608 eV per atom

=====

Q: What is the formula in the ninth record?
A: SmY3Ho6Sc2